GGA-PBE MnGePCN, optimized geometry; symmetry = No. 1; E_form (uncorrected) = 1.64 eV/f.u.; D(E_F) = 0.296 states/eV per atom; E_tot = -7.02 eV/atom; calculated volume = 63.99 Å³/cell; crystal system = triclinic; energy relative to the lowest polymorph listed for this composition = 0.233 eV per atom
1.0
-1.984 -1.071 -2.872
3.698 -0.390 -1.862
-0.205 -3.439 3.157
P Ge Mn C N
1 1 1 1 1
Direct
0.667 0.246 0.694
0.225 0.937 0.006
0.814 0.669 0.468
0.310 0.890 0.420
0.623 0.304 0.053